[1]
A relaxed structure of YMn2P. Source: the Alexandria database, functional PBE.

Raw total energy (eV/atom): -7.682
Energy of formation from the pure elements (eV/atom): -0.129

a = 3.5328 Å, b = 4.4117 Å, c = 8.8446 Å
α = 90.00°, β = 90.00°, γ = 90.00°
With the nearest neighbours (Å) after each atom.
Space group Imm2 (No. 44)
Symmetry-distinct sites (fractional):
Y  0.0000  0.0000  0.0000  4 P 2.87-3.09, 8 Mn 2.92-3.02
Mn  0.0000  0.0000  0.5852  2 P 2.26
Mn  0.0000  0.5000  0.7769  2 Mn 2.78, 4 P 2.84, 4 Y 2.96-3.02
P  0.0000  0.5000  0.2448  2 Mn 2.26



[2]
A relaxed structure of GePt3Au. Source: the Alexandria database, functional PBE.

Relative energy among the computed polymorphs (meV/atom): 810
Raw total energy (eV/atom): -3.861
Energy of formation from the pure elements (eV/atom): 1.342

a = 4.9571 Å, b = 4.9571 Å, c = 4.9571 Å
α = 90.00°, β = 90.00°, γ = 90.00°
With the nearest neighbours (Å) after each atom.
Space group Pm-3m (No. 221)
Symmetry-distinct sites (fractional):
Ge  0.0000  0.0000  0.0000  12 Pt 3.51
Pt  0.0000  0.5000  0.5000  2 Au 2.48
Au  0.5000  0.5000  0.5000  6 Pt 2.48



[3]
A relaxed structure of Nd2Ga4NiPd3. Source: the Alexandria database, functional PBE.

Raw total energy (eV/atom): -5.027
Energy of formation from the pure elements (eV/atom): -0.727

a = 4.4080 Å, b = 4.4080 Å, c = 9.8245 Å
α = 90.00°, β = 90.00°, γ = 90.00°
With the nearest neighbours (Å) after each atom.
Space group P-4m2 (No. 115)
Symmetry-distinct sites (fractional):
Nd  0.0000  0.5000  0.2441  2 Ni 3.26, 6 Pd 3.26-3.35, 9 Ga 3.34-3.55
Ga  0.0000  0.0000  0.5000  4 Pd 2.55
Ga  0.0000  0.5000  0.8832  3 Pd 2.48, 2 Ni 2.48
Ga  0.5000  0.5000  0.5000  4 Pd 2.55
Ni  0.5000  0.5000  0.0000  4 Ga 2.48
Pd  0.0000  0.0000  0.0000  4 Ga 2.48
Pd  0.0000  0.5000  0.6307  5 Ga 2.48-2.55



[4]
A relaxed structure of AlSiO2F. Source: the Alexandria database, functional PBE.

Raw total energy (eV/atom): -5.695
Uncorrected formation energy (eV per atom): -1.505

a = 3.4905 Å, b = 3.4905 Å, c = 4.4603 Å
α = 90.00°, β = 90.00°, γ = 90.00°
With the nearest neighbours (Å) after each atom.
Space group P4/mmm (No. 123)
Symmetry-distinct sites (fractional):
Al  0.0000  0.0000  0.0000  4 F 2.47
Si  0.5000  0.5000  0.5000  4 O 1.75
O  0.0000  0.5000  0.5000  2 Si 1.75
F  0.5000  0.5000  0.0000  2 Si 2.23, 4 Al 2.47



Q: Among the records above, which one has the lowest raw total energy?
A: YMn2P



Q: Which value of raw total energy does entry 4 give?
A: -5.695 eV/atom



Q: What is the raw total energy in the fourth record?
A: -5.695 eV/atom



Q: Which of these has the lowest raw total energy?
A: YMn2P